Entry 1:
12
Lattice="3.388 -3.520 0.000 3.388 3.520 0.000 0.000 0.000 6.804" Properties=species:S:1:pos:R:3 comment="NpSc2TlO8, optimized geometry, DFT PBE" spacegroup="Cmmm, No. 65" crystal_system=orthorhombic e_form_raw_ev_per_atom=-2.506 pbc="T T T"
Np 0.000 0.000 0.000
Sc 3.388 0.000 1.755
Sc 3.388 0.000 5.050
Tl 0.000 0.000 3.402
O 3.388 2.110 1.468
O 3.388 2.110 5.336
O 2.018 0.000 0.000
O 2.112 0.000 3.402
O 4.665 0.000 3.402
O 4.759 0.000 0.000
O 3.388 -2.110 1.468
O 3.388 -2.110 5.336



Entry 2:
8
Lattice="4.314 0.000 0.000 0.000 4.221 0.000 0.000 0.000 11.125" Properties=species:S:1:pos:R:3 comment="Pr2SiPd, optimized geometry, DFT PBE" spacegroup="Amm2, No. 38" crystal_system=orthorhombic e_form_raw_ev_per_atom=-0.728 pbc="T T T"
Pr 0.000 0.000 0.000
Pr 0.000 2.110 5.563
Pr 2.157 0.000 3.109
Pr 2.157 2.110 8.671
Si 0.000 0.000 7.940
Si 0.000 2.110 2.378
Pd 2.157 0.000 6.347
Pd 2.157 2.110 0.784



Entry 3:
4
Lattice="2.908 0.000 0.000 0.000 2.908 0.000 0.000 0.000 6.859" Properties=species:S:1:pos:R:3 comment="AgPOs2, optimized geometry, DFT PBE" spacegroup="P4/mmm, No. 123" crystal_system=tetragonal formation_energy_ev_per_atom=0.3519 pbc="T T T"
Ag 0.000 0.000 0.000
P 0.000 0.000 3.429
Os 1.454 1.454 2.092
Os 1.454 1.454 4.767



Entry 4:
12
Lattice="4.290 0.000 0.000 -2.145 3.715 0.000 0.000 0.000 21.744" Properties=species:S:1:pos:R:3 comment="CaPmTeSe, optimized geometry, DFT PBE" spacegroup="R3m, No. 160" crystal_system=trigonal e_form_raw_ev_per_atom=-1.695 pbc="T T T"
Ca 0.000 0.000 0.000
Ca 0.000 2.477 14.496
Ca 2.145 1.238 7.248
Pm 0.000 0.000 11.172
Pm 0.000 2.477 3.924
Pm 2.145 1.238 18.420
Te 0.000 0.000 16.454
Te 0.000 2.477 9.206
Te 2.145 1.238 1.958
Se 0.000 0.000 5.631
Se 0.000 2.477 20.127
Se 2.145 1.238 12.879